Crystalline SmEr2Ag2Sn2 at its relaxed geometry. Source: Alexandria via LeMat-Bulk, functional GGA-PBE.

abc: 4.8651 4.8651 25.8122
angles: 90.00 90.00 120.00
Last column: nearest neighbours and their distance in Å.
Space group R-3m (No. 166, hexagonal axes)
Unique sites:
Sm1 0.0000 0.0000 0.0000 x3  6 Sn 3.33, 2 Er 3.47
Er1 0.0000 0.0000 0.1344 x6  3 Ag 2.90
Ag1 0.0000 0.0000 0.4394 x6  3 Er 2.90, 3 Sn 2.96, 1 Ag 3.13
Sn1 0.0000 0.0000 0.2638 x6  3 Ag 2.96, 3 Er 3.27

Output
M_tot   0.001 μB per cell
DFT formation energy   -2.98 eV/f.u.

Crystalline SmErAgSn at its relaxed geometry. Source: Alexandria via LeMat-Bulk, functional GGA-PBE.

abc: 7.4447 7.4447 7.4447
angles: 90.00 90.00 90.00
Last column: nearest neighbours and their distance in Å.
Space group F-43m (No. 216)
Unique sites:
Sm1 0.0000 0.0000 0.0000 x4  4 Sn 3.22, 4 Ag 3.22
Er1 0.0000 0.0000 0.5000 x4  4 Sn 3.22, 4 Ag 3.22
Ag1 0.2500 0.2500 0.2500 x4  4 Er 3.22, 4 Sm 3.22
Sn1 0.2500 0.2500 0.7500 x4  4 Er 3.22, 4 Sm 3.22

Output
M_tot   0.605 μB per cell
DFT formation energy   -2.01 eV/f.u.

Crystalline TbSmErAg at its relaxed geometry. Source: Alexandria via LeMat-Bulk, functional GGA-PBE.

abc: 3.5905 3.5905 8.8186
angles: 90.00 90.00 90.00
Last column: nearest neighbours and their distance in Å.
Space group P4mm (No. 99)
Unique sites:
Tb1 0.0000 0.0000 0.0000 x1  4 Ag 3.18
Sm1 0.5000 0.5000 0.2915 x1  4 Sm 3.59, 4 Er 3.59, 4 Tb 3.61
Er1 0.0000 0.0000 0.5795 x1  4 Ag 3.11
Ag1 0.5000 0.5000 0.7825 x1  4 Er 3.11, 4 Tb 3.18

Output
ΔE to the lowest computed polymorph   0.0 meV/atom
M_tot   0.000 μB per cell
DFT formation energy   -0.54 eV/f.u.

Crystalline TbSmErAg at its relaxed geometry. Source: Alexandria via LeMat-Bulk, functional GGA-PBE.

abc: 7.6407 7.6407 7.6407
angles: 90.00 90.00 90.00
Last column: nearest neighbours and their distance in Å.
Space group F-43m (No. 216)
Unique sites:
Tb1 0.0000 0.0000 0.0000 x4  4 Er 3.31, 4 Ag 3.31
Sm1 0.0000 0.0000 0.5000 x4  4 Er 3.31, 4 Ag 3.31
Er1 0.2500 0.2500 0.7500 x4  4 Tb 3.31, 4 Sm 3.31
Ag1 0.2500 0.2500 0.2500 x4  4 Tb 3.31, 4 Sm 3.31

Output
ΔE to the lowest computed polymorph   190.4 meV/atom
M_tot   0.000 μB per cell
DFT formation energy   0.22 eV/f.u.